(1)
# AcCoAs, optimized geometry, DFT PBE
data_AcCoAs
_space_group_name_H-M_alt 'P -6 m 2'
_space_group_IT_number 187
_space_group_name_Hall 'P -6 2'
_cell_length_a 4.1958
_cell_length_b 4.1958
_cell_length_c 4.4101
_cell_angle_alpha 90.00
_cell_angle_beta 90.00
_cell_angle_gamma 120.00
loop_
_atom_site_label
_atom_site_type_symbol
_atom_site_fract_x
_atom_site_fract_y
_atom_site_fract_z
Ac1 Ac 0.0000 0.0000 0.0000
Co1 Co 0.6667 0.3333 0.5000
As1 As 0.3333 0.6667 0.5000
# E above lowest polymorph (eV/atom): 0.000
# D(E_F) (states/eV/f.u.): 3.5
# Crystal system: hexagonal
# Energy of formation (meV per atom): -747
# Total magnetization (Bohr magnetons per cell): 0.7

***

(2)
# NbTeI2Br, optimized geometry, DFT PBE
data_NbTeI2Br
_space_group_name_H-M_alt 'P 4/m m m'
_space_group_IT_number 123
_space_group_name_Hall '-P 4 2'
_cell_length_a 5.646
_cell_length_b 5.646
_cell_length_c 5.897
_cell_angle_alpha 90.00
_cell_angle_beta 90.00
_cell_angle_gamma 90.00
loop_
_atom_site_label
_atom_site_type_symbol
_atom_site_fract_x
_atom_site_fract_y
_atom_site_fract_z
Nb1 Nb 0.000 0.000 0.000
Te1 Te 0.500 0.500 0.000
I1 I 0.000 0.500 0.500
Br1 Br 0.500 0.500 0.500
# ΔE_f (raw) (eV/atom): 1.19
# E above lowest polymorph (eV/atom): 1.188
# D(E_F) (states/eV/f.u.): 7.2
# Crystal system: tetragonal
# Total magnetization (Bohr magnetons per cell): 3.0

***

(3)
# Eu3Pb, optimized geometry, DFT PBE
data_Eu3Pb
_space_group_name_H-M_alt 'F m -3 m'
_space_group_IT_number 225
_space_group_name_Hall '-F 4 2 3'
_cell_length_a 8.169
_cell_length_b 8.169
_cell_length_c 8.169
_cell_angle_alpha 90.00
_cell_angle_beta 90.00
_cell_angle_gamma 90.00
loop_
_atom_site_label
_atom_site_type_symbol
_atom_site_fract_x
_atom_site_fract_y
_atom_site_fract_z
Eu1 Eu 0.000 0.000 0.000
Eu2 Eu 0.250 0.250 0.250
Pb1 Pb 0.000 0.000 0.500
# D(E_F) (states/eV/f.u.): 4.4
# Crystal system: cubic
# Energy of formation (meV per atom): -267
# Total magnetization (Bohr magnetons per cell): 90.9